Record 1
12
Lattice="3.687 0.000 0.000 -1.844 3.193 0.000 0.000 0.000 20.728" Properties=species:S:1:pos:R:3 comment="MgNpS2 PBE relaxed" sg="R3m (160)" e_form_raw_mev_per_atom=-1142 e_above_lowest_polymorph_mev_per_atom=0 pbc="T T T"
Mg 0.000 0.000 0.000
Mg 0.000 2.129 13.819
Mg 1.844 1.064 6.909
Np 0.000 0.000 3.498
Np 0.000 2.129 17.317
Np 1.844 1.064 10.407
S 0.000 0.000 12.262
S 0.000 0.000 15.474
S 0.000 2.129 5.353
S 0.000 2.129 8.565
S 1.844 1.064 1.656
S 1.844 1.064 19.172

Record 2
18
Lattice="1.654 -6.748 0.000 1.654 6.748 0.000 0.000 0.000 9.336" Properties=species:S:1:pos:R:3 comment="Ce2CrFeN5 PBE relaxed" sg="Cmc2_1 (36)" e_form_raw_mev_per_atom=-860 pbc="T T T"
Ce 1.654 5.040 4.668
Ce 1.654 4.962 8.205
Ce 1.654 -4.962 3.537
Ce 1.654 -5.040 0.000
Cr 1.654 0.974 6.154
Cr 1.654 -0.974 1.486
Fe 1.654 3.970 1.922
Fe 1.654 -3.970 6.590
N 1.654 6.087 2.236
N 1.654 2.673 7.861
N 1.654 2.646 5.348
N 1.654 2.036 1.850
N 1.654 0.156 4.588
N 1.654 -0.156 9.256
N 1.654 -2.036 6.518
N 1.654 -2.646 0.680
N 1.654 -2.673 3.193
N 1.654 -6.087 6.904

Record 3
8
Lattice="2.910 0.000 0.000 0.000 4.600 0.000 0.000 0.000 9.387" Properties=species:S:1:pos:R:3 comment="MnW2Cl PBE relaxed" sg="Immm (71)" e_form_raw_mev_per_atom=814 e_above_lowest_polymorph_mev_per_atom=504 pbc="T T T"
Mn 0.000 0.000 0.000
Mn 1.455 2.300 4.693
W 0.000 2.300 2.168
W 0.000 2.300 7.219
W 1.455 0.000 2.526
W 1.455 0.000 6.861
Cl 0.000 0.000 4.693
Cl 1.455 2.300 0.000

Record 4
19
Lattice="7.226 -3.669 0.000 7.226 3.669 0.000 -0.916 0.000 7.098" Properties=species:S:1:pos:R:3 comment="Tl2Ga5Au12 PBE relaxed" formation_energy_ev_per_atom=-0.0684 sg="C2/m (12)" pbc="T T T"
Tl 7.226 2.050 0.000
Tl 7.226 -2.050 0.000
Ga -0.458 0.000 3.549
Ga 2.817 0.000 3.855
Ga 4.797 0.000 0.355
Ga 8.738 0.000 6.743
Ga 10.718 0.000 3.243
Au 2.853 1.458 1.633
Au 1.508 0.000 6.177
Au 5.716 1.463 2.566
Au 7.819 1.463 4.532
Au 5.261 0.000 5.042
Au 2.853 -1.458 1.633
Au 10.683 1.458 5.465
Au 8.275 0.000 2.057
Au 5.716 -1.463 2.566
Au 7.819 -1.463 4.532
Au 12.027 0.000 0.922
Au 10.683 -1.458 5.465